## NaAg3SnSe4 (PBE)

Data for crystalline NaAg3SnSe4 at its relaxed geometry.

```
NaAg3SnSe4
1.0
6.303 0.000 0.000
0.000 8.076 0.000
-1.703 0.000 9.690
Ag Na Se Sn
6 2 8 2
Cartesian
0.944 6.057 2.022
0.968 4.515 4.520
0.968 7.599 4.520
3.632 0.477 5.170
3.632 3.561 5.170
3.656 2.019 7.668
4.338 2.019 0.925
0.262 6.057 8.764
5.347 6.057 0.298
2.654 0.080 2.519
2.654 3.958 2.519
-0.548 2.019 4.725
5.148 6.057 4.965
1.946 4.118 7.170
1.946 7.996 7.170
-0.747 2.019 9.392
4.174 6.057 2.543
0.426 2.019 7.147
```

Summary:
The symmetry is P2_1/m, No. 11. The calculation puts the offset from the most stable computed form at 0 meV/atom. The value obtained for the total energy is -3.3931 eV/atom.

---

## RbTl2Hg2 (PBE)

Data for crystalline RbTl2Hg2 at its relaxed geometry.

```
RbTl2Hg2
1.0
1.547 -6.711 3.232
-4.878 -5.804 0.628
2.742 5.019 -5.017
Hg Rb Tl
2 1 2
Cartesian
-1.307 -4.912 1.515
-2.023 -7.604 2.345
0.000 0.000 0.000
1.312 -3.975 0.073
-1.901 -3.521 -1.229
```

Summary:
The symmetry is I4/mmm, No. 139. The value obtained for the total energy is -1.3803 eV/atom.

---

## LiNbNiAs (PBE)

Data for crystalline LiNbNiAs at its relaxed geometry.

```
LiNbNiAs
1.0
2.204 0.074 3.647
-0.660 3.121 2.826
-1.957 -0.846 3.690
As Li Nb Ni
1 1 1 1
Cartesian
0.000 0.000 0.000
-0.207 1.175 5.082
-0.103 0.587 2.541
-0.310 1.762 7.623
```

Summary:
The symmetry is F-43m, No. 216. The calculation puts the offset from the most stable computed form at 0 meV/atom. The value obtained for the total energy is -5.6136 eV/atom.

---

## SrTeIr (PBE)

Data for crystalline SrTeIr at its relaxed geometry.

```
SrTeIr
1.0
-0.080 -3.489 3.322
1.706 0.847 4.425
-3.030 0.298 3.734
Ir Sr Te
1 1 1
Cartesian
0.000 0.000 0.000
-0.351 -0.586 2.870
-1.053 -1.758 8.610
```

Summary:
The symmetry is F-43m, No. 216. The calculation puts the offset from the most stable computed form at 0 meV/atom. The value obtained for the total energy is -4.8720 eV/atom.

---

## SmZnInSe3 (PBE)

Data for crystalline SmZnInSe3 at its relaxed geometry.

```
SmZnInSe3
1.0
11.157 0.000 0.000
0.000 4.155 0.000
-0.006 0.000 14.604
In Se Sm Zn
4 12 4 4
Cartesian
8.735 1.039 0.072
3.153 1.039 7.230
7.997 3.117 7.374
2.416 3.117 14.532
6.611 3.117 1.680
10.629 3.117 1.812
2.964 1.039 2.613
8.541 1.039 4.689
5.048 3.117 5.490
1.030 3.117 5.623
10.121 1.039 8.981
6.102 1.039 9.114
2.610 3.117 9.915
8.187 3.117 11.991
0.521 1.039 12.792
4.540 1.039 12.924
5.786 1.039 3.548
0.207 1.039 3.754
10.943 3.117 10.850
5.365 3.117 11.056
8.558 3.117 3.187
2.980 3.117 4.115
8.170 1.039 10.489
2.592 1.039 11.417
```

Summary:
The symmetry is P2_1/m, No. 11. The calculation puts the offset from the most stable computed form at 0 meV/atom. The value obtained for the total energy is -4.2649 eV/atom.

---

## Ba2NiWS6 (PBE)

Data for crystalline Ba2NiWS6 at its relaxed geometry.

```
Ba2NiWS6
1.0
6.478 0.000 0.000
-3.239 5.610 0.000
0.000 0.000 12.931
Ba Ni S W
4 2 12 2
Cartesian
0.000 3.740 1.011
0.000 3.740 5.455
3.239 1.870 7.477
3.239 1.870 11.920
0.000 0.000 3.233
0.000 0.000 9.699
4.841 0.924 1.746
1.619 0.957 1.746
3.258 3.730 1.746
1.638 0.924 4.720
4.859 0.957 4.720
3.220 3.730 4.720
0.019 1.880 8.212
-1.620 4.654 8.212
1.601 4.687 8.212
-0.019 1.880 11.185
1.620 4.654 11.185
-1.601 4.687 11.185
3.239 1.870 3.233
0.000 3.740 9.699
```

Summary:
The symmetry is P-31c, No. 163. The value obtained for the total energy is -5.6648 eV/atom.